Record 1
Computed, not measured: a geometry-optimized CaTh2F11 structure at the PBE level of DFT.

Cell lengths 8.886, 8.886, 8.886 Å; angles 121.51, 105.24, 102.39 degrees
Positions (direct):
Ca 0.250 0.250 0.000
Ca 0.750 0.750 0.000
Th 0.184 0.648 0.832
Th 0.316 0.148 0.465
Th 0.684 0.852 0.535
Th 0.816 0.352 0.168
F 0.000 0.500 0.500
F 0.031 0.958 0.274
F 0.063 0.360 0.144
F 0.185 0.458 0.928
F 0.213 0.379 0.592
F 0.216 0.919 0.856
F 0.284 0.140 0.703
F 0.287 0.879 0.167
F 0.315 0.243 0.274
F 0.437 0.581 0.297
F 0.469 0.743 0.928
F 0.500 0.000 0.500
F 0.531 0.257 0.072
F 0.563 0.419 0.703
F 0.685 0.757 0.726
F 0.713 0.121 0.833
F 0.716 0.860 0.297
F 0.784 0.081 0.144
F 0.787 0.621 0.408
F 0.815 0.542 0.072
F 0.937 0.640 0.856
F 0.969 0.042 0.726


Record 2
Computed, not measured: a geometry-optimized CaThF structure at the PBE level of DFT.

Cell lengths 3.971, 3.971, 12.819 Å; angles 99.04, 99.04, 59.97 degrees
Positions (direct):
Ca 0.125 0.125 0.376
Ca 0.875 0.875 0.624
Th 0.297 0.297 0.891
Th 0.703 0.703 0.109
F 0.065 0.065 0.193
F 0.935 0.935 0.807


Record 3
Computed, not measured: a geometry-optimized CaTi3F structure at the PBE level of DFT.

Summary:
E above lowest polymorph = 1934.5 meV/atom

Cell lengths 4.881, 4.881, 4.881 Å; angles 90.00, 90.00, 90.00 degrees
Positions (direct):
Ca 0.000 0.000 0.000
Ti 0.000 0.000 0.500
Ti 0.000 0.500 0.000
Ti 0.500 0.000 0.000
F 0.500 0.500 0.500


Record 4
Computed, not measured: a geometry-optimized CaTi3F structure at the PBE level of DFT.

Summary:
E above lowest polymorph = 0.0 meV/atom

Cell lengths 4.468, 4.468, 4.468 Å; angles 90.00, 90.00, 90.00 degrees
Positions (direct):
Ca 0.000 0.000 0.000
Ti 0.000 0.500 0.500
Ti 0.500 0.000 0.500
Ti 0.500 0.500 0.000
F 0.500 0.500 0.500


Record 5
Computed, not measured: a geometry-optimized CaTiF6 structure at the PBE level of DFT.

Cell lengths 5.889, 5.889, 5.889 Å; angles 59.91, 59.91, 59.91 degrees
Positions (direct):
Ca 0.000 0.000 0.000
Ti 0.500 0.500 0.500
F 0.273 0.273 0.727
F 0.273 0.727 0.273
F 0.273 0.727 0.727
F 0.727 0.273 0.273
F 0.727 0.273 0.727
F 0.727 0.727 0.273


Record 6
Computed, not measured: a geometry-optimized Ca3TiF structure at the PBE level of DFT.

Summary:
E above lowest polymorph = 1042.9 meV/atom

Cell lengths 5.932, 5.932, 5.932 Å; angles 90.00, 90.00, 90.00 degrees
Positions (direct):
Ca 0.000 0.000 0.500
Ca 0.000 0.500 0.000
Ca 0.500 0.000 0.000
Ti 0.000 0.000 0.000
F 0.500 0.500 0.500


Record 7
Computed, not measured: a geometry-optimized CaTiF3 structure at the PBE level of DFT.

Cell lengths 4.265, 4.265, 4.265 Å; angles 90.00, 90.00, 90.00 degrees
Positions (direct):
Ca 0.000 0.000 0.000
Ti 0.500 0.500 0.500
F 0.000 0.500 0.500
F 0.500 0.000 0.500
F 0.500 0.500 0.000


Record 8
Computed, not measured: a geometry-optimized CaTi2F10 structure at the PBE level of DFT.

Cell lengths 5.676, 5.676, 7.838 Å; angles 111.44, 111.44, 72.29 degrees
Positions (direct):
Ca 0.000 0.000 0.000
Ti 0.522 0.460 0.743
Ti 0.540 0.478 0.257
F 0.250 0.727 0.803
F 0.273 0.750 0.197
F 0.284 0.266 0.140
F 0.317 0.230 0.619
F 0.497 0.503 0.500
F 0.582 0.418 0.000
F 0.734 0.716 0.860
F 0.770 0.683 0.381
F 0.795 0.178 0.244
F 0.822 0.205 0.756


Record 9
Computed, not measured: a geometry-optimized Ca3TiF structure at the PBE level of DFT.

Summary:
E above lowest polymorph = 0.0 meV/atom

Cell lengths 5.079, 5.079, 5.079 Å; angles 90.00, 90.00, 90.00 degrees
Positions (direct):
Ca 0.000 0.000 0.500
Ca 0.000 0.500 0.000
Ca 0.500 0.000 0.000
Ti 0.500 0.500 0.500
F 0.000 0.000 0.000


Record 10
Computed, not measured: a geometry-optimized CaTiF4 structure at the PBE level of DFT.

Cell lengths 3.787, 3.787, 5.328 Å; angles 90.00, 90.00, 90.00 degrees
Positions (direct):
Ca 0.000 0.000 0.000
Ti 0.500 0.500 0.500
F 0.000 0.500 0.262
F 0.000 0.500 0.738
F 0.500 0.000 0.262
F 0.500 0.000 0.738


Record 11
Computed, not measured: a geometry-optimized CaTlF6 structure at the PBE level of DFT.

Summary:
E above lowest polymorph = 12.5 meV/atom

Cell lengths 5.281, 5.289, 6.254 Å; angles 65.07, 65.04, 60.11 degrees
Positions (direct):
Ca 0.000 0.000 0.000
Tl 0.500 0.500 0.500
F 0.096 0.421 0.742
F 0.260 0.903 0.258
F 0.421 0.741 0.742
F 0.579 0.259 0.258
F 0.740 0.097 0.742
F 0.904 0.579 0.258


Record 12
Computed, not measured: a geometry-optimized Ca2TlF structure at the PBE level of DFT.

Summary:
E above lowest polymorph = 529.1 meV/atom

Cell lengths 5.307, 5.307, 5.307 Å; angles 60.00, 60.00, 60.00 degrees
Positions (direct):
Ca 0.250 0.250 0.250
Ca 0.750 0.750 0.750
Tl 0.000 0.000 0.000
F 0.500 0.500 0.500


VASP energy: -6.39, -5.25, -3.81, -5.74, -6.30, -2.86, -5.56, -6.32, -3.90, -6.22, -4.22, -3.05 (eV per atom)
Energy relative to the elements, uncorrected: -3.7198, -1.4907, 1.7052, -0.2293, -3.6557, 0.2978, -2.4613, -3.5080, -0.7451, -3.3190, -2.2705, -0.9940 (eV per atom)